The following is a DFT calculation (PBE) of an optimized crystal structure of PrPaZn4.

Structure (POSCAR):
```
PrPaZn4
1.0
0.0000 3.8976 3.8976
3.8976 0.0000 3.8976
3.8976 3.8976 0.0000
Pr Pa Zn
1 1 4
Cartesian
0.0000 0.0000 0.0000
1.9488 1.9488 1.9488
4.8688 2.9263 2.9263
2.9263 4.8688 2.9263
2.9263 2.9263 4.8688
4.8688 4.8688 4.8688
```

Output
Symmetry ... No. 216
E_form ... -0.1341 eV per atom



The following is a DFT calculation (PBE) of an optimized crystal structure of La3Sm2Ho.

Structure (POSCAR):
```
La3Sm2Ho
1.0
6.3811 0.0000 0.0000
-3.1906 5.5262 0.0000
0.0000 0.0000 11.9335
La Sm Ho
6 4 2
Cartesian
-1.0585 1.8334 2.9834
-2.1321 3.6928 8.9501
2.1170 0.0000 2.9834
1.0585 1.8334 8.9501
4.2641 0.0000 8.9501
2.1321 3.6928 2.9834
0.0000 3.6841 0.0000
0.0000 3.6841 5.9668
3.1906 1.8421 0.0000
3.1906 1.8421 5.9668
0.0000 0.0000 0.0000
0.0000 0.0000 5.9668
```

Output
Energy above the lowest structure with this stoichiometry ... 0.010 eV/atom
Symmetry ... No. 193
E_form ... 0.0296 eV per atom



The following is a DFT calculation (PBE) of an optimized crystal structure of Y4HoAl4.

Structure (POSCAR):
```
Y4HoAl4
1.0
8.8319 0.0000 0.0000
0.0000 8.8319 0.0000
0.0000 0.0000 5.7998
Y Ho Al
8 2 8
Cartesian
0.7321 7.2781 0.7831
1.5538 5.1481 3.6830
2.8622 8.0998 3.6830
3.6838 5.9698 0.7831
5.1481 2.8622 5.0167
5.9698 0.7321 2.1168
7.2781 3.6838 2.1168
8.0998 1.5538 5.0167
2.2080 2.2080 4.3498
6.6239 6.6239 1.4499
0.4942 1.3799 2.0226
1.3799 3.9217 0.8773
3.0361 0.4942 0.8773
3.9217 3.0361 2.0226
4.9102 5.7959 3.7772
5.7959 8.3377 4.9225
7.4520 4.9102 4.9225
8.3377 7.4520 3.7772
```

Output
Symmetry ... No. 86
E_form ... -0.1755 eV per atom



The following is a DFT calculation (PBE) of an optimized crystal structure of PtPb2Se2.

Structure (POSCAR):
```
PtPb2Se2
1.0
7.2180 0.0000 0.0000
0.0000 7.2180 0.0000
0.0000 0.0000 4.8759
Pt Pb Se
2 4 4
Cartesian
0.0000 0.0000 0.0000
3.6090 3.6090 0.0000
1.1771 2.4319 2.4380
2.4319 6.0409 2.4380
4.7861 1.1771 2.4380
6.0409 4.7861 2.4380
1.3001 4.9091 0.0000
2.3089 1.3001 0.0000
4.9091 5.9179 0.0000
5.9179 2.3089 0.0000
```

Output
Formation energy (no corrections) ... -2.422 kcal/mol of atoms
Symmetry ... No. 127



The following is a DFT calculation (PBE) of an optimized crystal structure of Cu3Pd5Au.

Structure (POSCAR):
```
Cu3Pd5Au
1.0
4.1849 -3.5789 0.0000
4.1849 3.5789 0.0000
-1.3708 0.0000 10.0641
Cu Pd Au
6 10 2
Cartesian
0.0000 0.0000 0.0000
-0.6854 0.0000 5.0320
1.5852 0.0000 3.7623
1.1514 0.0000 9.8200
5.8477 0.0000 0.2440
5.4138 0.0000 6.3018
1.3048 2.0412 8.3717
1.4988 0.0000 6.2756
3.4995 1.2770 5.0320
5.6942 2.0412 1.6924
3.7093 0.0000 1.9695
3.2898 0.0000 8.0945
1.3048 -2.0412 8.3717
3.4995 -1.2770 5.0320
5.5002 0.0000 3.7885
5.6942 -2.0412 1.6924
-0.6983 0.0000 7.6639
7.6974 0.0000 2.4002
```

Output
Energy above the lowest structure with this stoichiometry ... 0.318 eV/atom
Symmetry ... No. 12
E_form ... 0.2895 eV per atom



The following is a DFT calculation (PBE) of an optimized crystal structure of Ti2CuS4.

Structure (POSCAR):
```
Ti2CuS4
1.0
0.0000 5.0074 5.0074
5.0074 0.0000 5.0074
5.0074 5.0074 0.0000
Ti Cu S
4 2 8
Cartesian
0.0000 0.0000 0.0000
2.5037 2.5037 0.0000
2.5037 0.0000 2.5037
0.0000 2.5037 2.5037
3.7555 3.7555 3.7555
6.2592 6.2592 6.2592
7.5602 4.9583 4.9583
2.4546 2.4546 2.4546
5.0565 5.0565 2.4546
5.0565 2.4546 5.0565
4.9583 7.5602 4.9583
4.9583 4.9583 7.5602
7.5602 7.5602 7.5602
2.4546 5.0565 5.0565
```

Output
Formation energy (no corrections) ... -26.683 kcal/mol of atoms
Symmetry ... No. 227



The following is a DFT calculation (PBE) of an optimized crystal structure of SnTePd4.

Structure (POSCAR):
```
SnTePd4
1.0
2.1691 -9.8769 0.0000
2.1691 9.8769 0.0000
0.0000 0.0000 5.5789
Sn Te Pd
2 2 8
Cartesian
2.1691 6.5312 2.7894
2.1691 -6.5312 0.0000
2.1691 1.1346 2.3786
2.1691 -1.1346 5.1680
2.1691 7.3064 0.2266
2.1691 4.2780 4.2346
2.1691 3.7685 1.5519
2.1691 1.6072 5.1100
2.1691 -1.6072 2.3206
2.1691 -3.7685 4.3413
2.1691 -4.2780 1.4452
2.1691 -7.3064 3.0161
```

Output
Energy above the lowest structure with this stoichiometry ... 0.003 eV/atom
Formation energy (no corrections) ... -8.447 kcal/mol of atoms
Symmetry ... No. 36



The following is a DFT calculation (PBE) of an optimized crystal structure of HoTc3Ge3.

Structure (POSCAR):
```
HoTc3Ge3
1.0
6.7576 0.0000 0.0000
0.0000 6.7576 0.0000
0.0000 0.0000 6.7576
Ho Tc Ge
2 6 6
Cartesian
0.0000 0.0000 0.0000
3.3788 3.3788 3.3788
0.0000 1.6894 3.3788
0.0000 5.0682 3.3788
1.6894 3.3788 0.0000
3.3788 0.0000 1.6894
3.3788 0.0000 5.0682
5.0682 3.3788 0.0000
0.0000 3.3788 1.6894
0.0000 3.3788 5.0682
1.6894 0.0000 3.3788
3.3788 1.6894 0.0000
3.3788 5.0682 0.0000
5.0682 0.0000 3.3788
```

Output
Energy above the lowest structure with this stoichiometry ... 0.713 eV/atom
Symmetry ... No. 223
E_form ... 0.4552 eV per atom



no.,calculated density (g/cm3),N(E_F) (states/eV/atom),VASP energy (eV per atom)
1,8.88,0.988,-3.36
2,6.96,1.238,-4.77
3,4.61,0.876,-5.22
4,10.03,0.382,-4.19
5,10.13,1.021,-4.32
6,3.80,0.506,-6.36
7,9.34,0.496,-5.02
8,7.28,0.921,-6.62